1.
! Dy4ThTc2 | Alexandria via LeMat-Bulk | PBE | relaxed; values from VASP
&SYSTEM
  ibrav = 0, nat = 14, ntyp = 3
/
ATOMIC_SPECIES
Dy 162.50 Dy.upf
Tc 98.00 Tc.upf
Th 232.04 Th.upf
CELL_PARAMETERS angstrom
6.3561 0.0000 0.0000
0.0000 7.3517 -2.9472
0.0000 0.0024 7.8260
ATOMIC_POSITIONS crystal
Dy 0.2500 0.2467 0.3247
Dy 0.4982 0.5838 0.2389
Dy 0.9982 0.4162 0.7611
Dy 0.7500 0.7533 0.6753
Dy 0.2500 0.9734 0.6033
Dy 0.0018 0.5838 0.2389
Dy 0.5018 0.4162 0.7611
Dy 0.7500 0.0266 0.3967
Tc 0.2500 0.2303 0.9667
Tc 0.7500 0.3797 0.4188
Tc 0.7500 0.7697 0.0333
Tc 0.2500 0.6203 0.5812
Th 0.7500 0.1599 0.0377
Th 0.2500 0.8401 0.9623
! density = 9.789 g cm⁻³
! final energy = -93.68 eV for the cell shown

=====

2.
! CaLaY2 | Alexandria via LeMat-Bulk | PBE | relaxed; values from VASP
&SYSTEM
  ibrav = 0, nat = 4, ntyp = 3
/
ATOMIC_SPECIES
Ca 40.08 Ca.upf
Y 88.91 Y.upf
La 138.91 La.upf
CELL_PARAMETERS angstrom
-2.5943 -2.1853 -1.2694
0.7832 -2.3966 2.5252
-7.8280 6.0287 5.6283
ATOMIC_POSITIONS crystal
Ca 0.3745 0.4468 0.8936
Y 0.8745 0.0710 0.1420
Y 0.3751 0.6817 0.3635
La 0.8759 0.3005 0.6009
! density = 4.082 g cm⁻³
! offset from the most stable computed form = 1.12 kcal/mol of atoms